LiLaSnTe3 | GGA-PBE | optimized geometry

As for the formation energy without anion corrections: -0.982 eV per atom. The calculation puts the electronic total energy at -4.360 eV per atom.

The structure belongs to space group P2_1/m (No. 11); the cell edges are 9.327, 4.381 and 9.784 Å and the angles 90.00°, 102.37° and 90.00°. Symmetry generates all atoms from Li at (0.091, 0.250, 0.090), La at (0.176, 0.250, 0.730), Sn at (0.337, 0.750, 0.343), Te at (0.095, 0.250, 0.378), Te at (0.216, 0.750, 0.986) and Te at (0.415, 0.750, 0.663).